The following is a GGA-PBE calculation of a relaxed NbFe3Ni crystal, from the Alexandria database.

Unit cell a=4.4488 b=4.4488 c=4.4488 alpha=90.00 beta=90.00 gamma=90.00
Space group Pm-3m (No. 221)
Symmetry-distinct sites (fractional):
Nb  0.0000  0.0000  0.0000 x1
Fe  0.0000  0.0000  0.5000 x3
Ni  0.5000  0.5000  0.5000 x1

Calculated values
As for the size of the total moment: 5.39 μB per formula unit. The calculated volume comes out at 17.61 Å³ per atom. For the calculated formation energy, the calculation gives 1685 meV per atom. The offset from the most stable computed form is 3.77 eV/f.u.

***

The following is a GGA-PBE calculation of a relaxed Au2SeF crystal, from the Alexandria database.

Unit cell a=6.4496 b=6.4496 c=6.4496 alpha=90.00 beta=90.00 gamma=90.00
Space group Fm-3m (No. 225)
Symmetry-distinct sites (fractional):
Au  0.2500  0.2500  0.2500 x8
Se  0.0000  0.0000  0.0000 x4
F  0.0000  0.0000  0.5000 x4

Calculated values
As for the size of the total moment: 0.00 μB per formula unit. The calculated volume comes out at 16.77 Å³ per atom. The energy relative to the elements, uncorrected comes out at -0.10 eV per atom. The offset from the most stable computed form is 0.15 eV/f.u.

***

The following is a GGA-PBE calculation of a relaxed Pu4SiRu4 crystal, from the Alexandria database.

Unit cell a=7.9415 b=7.9415 c=4.7640 alpha=90.00 beta=90.00 gamma=90.00
Space group I4/m (No. 87)
Symmetry-distinct sites (fractional):
Pu  0.1352  0.8334  0.0000 x8
Si  0.0000  0.0000  0.5000 x2
Ru  0.0341  0.3336  0.5000 x8

Calculated values
As for the size of the total moment: 2.98 μB per formula unit. The calculated volume comes out at 16.69 Å³ per atom. The energy relative to the elements, uncorrected comes out at -0.01 eV per atom.

***

DFT total energy, record by record: -0.4823, -0.2259, -0.8161 Ry per atom